Compound: K2Ba2Os
Source: Alexandria
Functional: PBEsol
Structure: relaxed

Cell and atoms, written as POSCAR:
```
K2Ba2Os
1.0
6.3911 0.0000 0.0000
0.0000 6.3911 0.0000
0.0000 0.0000 8.4964
K Ba Os
4 4 2
Direct
0.0000 0.0000 0.1609
0.0000 0.0000 0.8391
0.5000 0.5000 0.3391
0.5000 0.5000 0.6609
0.0000 0.5000 0.2500
0.0000 0.5000 0.7500
0.5000 0.0000 0.2500
0.5000 0.0000 0.7500
0.0000 0.0000 0.5000
0.5000 0.5000 0.0000
```

Properties
V in Å³/cell: 347.0
Formation energy in eV per atom: 1.255